Density functional theory data (PBE-GGA) for a relaxed HgAu3C crystal.

The space group is Pm-3m (No. 221) and the conventional cell measures 5.2562, 5.2562 and 5.2562 Å, with angles of 90.00, 90.00 and 90.00 degrees. The distinct sites, in fractional coordinates, are Hg at (0.0000, 0.0000, 0.0000), Au at (0.0000, 0.0000, 0.5000) and C at (0.5000, 0.5000, 0.5000).

The energy of formation from the pure elements is 2.113 eV per atom. The calculation puts the energy above the most stable polymorph in this dataset at 32.147 kcal/mol of atoms. The value obtained for the total energy is -8.793 eV for the cell shown. The density is 9.19 g/cm³. The value obtained for the density of states at the Fermi level is 0.895 states/eV per atom.



Density functional theory data (PBE-GGA) for a relaxed Hg3AuC crystal.

The space group is Pm-3m (No. 221) and the conventional cell measures 4.7114, 4.7114 and 4.7114 Å, with angles of 90.00, 90.00 and 90.00 degrees. The distinct sites, in fractional coordinates, are Hg at (0.0000, 0.0000, 0.5000), Au at (0.5000, 0.5000, 0.5000) and C at (0.0000, 0.0000, 0.0000).

The energy of formation from the pure elements is 0.981 eV per atom. The calculation puts the energy above the most stable polymorph in this dataset at 0.000 kcal/mol of atoms. The value obtained for the total energy is -8.500 eV for the cell shown. The density is 12.87 g/cm³. The value obtained for the density of states at the Fermi level is 0.437 states/eV per atom.



Density functional theory data (PBE-GGA) for a relaxed HgAuC3 crystal.

The space group is Pm-3m (No. 221) and the conventional cell measures 4.2428, 4.2428 and 4.2428 Å, with angles of 90.00, 90.00 and 90.00 degrees. The distinct sites, in fractional coordinates, are Hg at (0.0000, 0.0000, 0.0000), Au at (0.5000, 0.5000, 0.5000) and C at (0.0000, 0.5000, 0.5000).

The energy of formation from the pure elements is 3.072 eV per atom. The calculation puts the energy above the most stable polymorph in this dataset at 0.000 kcal/mol of atoms. The value obtained for the total energy is -15.892 eV for the cell shown. The density is 9.43 g/cm³. The value obtained for the density of states at the Fermi level is 1.070 states/eV per atom.



Density functional theory data (PBE-GGA) for a relaxed HgAu3C crystal.

The space group is Pm-3m (No. 221) and the conventional cell measures 4.4348, 4.4348 and 4.4348 Å, with angles of 90.00, 90.00 and 90.00 degrees. The distinct sites, in fractional coordinates, are Hg at (0.0000, 0.0000, 0.0000), Au at (0.0000, 0.5000, 0.5000) and C at (0.5000, 0.5000, 0.5000).

The energy of formation from the pure elements is 0.719 eV per atom. The calculation puts the energy above the most stable polymorph in this dataset at 0.000 kcal/mol of atoms. The value obtained for the total energy is -15.764 eV for the cell shown. The density is 15.30 g/cm³. The value obtained for the density of states at the Fermi level is 0.593 states/eV per atom.



Density functional theory data (PBE-GGA) for a relaxed Hg3AuC crystal.

The space group is Pm-3m (No. 221) and the conventional cell measures 5.4232, 5.4232 and 5.4232 Å, with angles of 90.00, 90.00 and 90.00 degrees. The distinct sites, in fractional coordinates, are Hg at (0.0000, 0.0000, 0.5000), Au at (0.0000, 0.0000, 0.0000) and C at (0.5000, 0.5000, 0.5000).

The energy of formation from the pure elements is 1.441 eV per atom. The calculation puts the energy above the most stable polymorph in this dataset at 10.593 kcal/mol of atoms. The value obtained for the total energy is -6.203 eV for the cell shown. The density is 8.44 g/cm³. The value obtained for the density of states at the Fermi level is 1.098 states/eV per atom.



Density functional theory data (PBE-GGA) for a relaxed HgAu2C crystal.

The space group is I-42d (No. 122) and the conventional cell measures 6.0483, 6.0483 and 9.4264 Å, with angles of 90.00, 90.00 and 90.00 degrees. The distinct sites, in fractional coordinates, are Hg at (0.0000, 0.0000, 0.0000), Au at (0.1265, 0.2500, 0.6250) and C at (0.0000, 0.0000, 0.5000).

The energy of formation from the pure elements is 0.894 eV per atom. The calculation puts the energy above the most stable polymorph in this dataset at 0.000 kcal/mol of atoms. The value obtained for the total energy is -50.015 eV for the cell shown. The density is 11.68 g/cm³. The value obtained for the density of states at the Fermi level is 0.457 states/eV per atom.



Density functional theory data (PBE-GGA) for a relaxed HgAuC2 crystal.

The space group is I-42d (No. 122) and the conventional cell measures 5.0318, 5.0318 and 10.2819 Å, with angles of 90.00, 90.00 and 90.00 degrees. The distinct sites, in fractional coordinates, are Hg at (0.0000, 0.0000, 0.0000), Au at (0.0000, 0.0000, 0.5000) and C at (0.2112, 0.2500, 0.6250).

The energy of formation from the pure elements is 2.043 eV per atom. The value obtained for the total energy is -55.420 eV for the cell shown. The density is 10.76 g/cm³. The value obtained for the density of states at the Fermi level is 0.707 states/eV per atom.



Density functional theory data (PBE-GGA) for a relaxed HgAuC3 crystal.

The space group is Pm-3m (No. 221) and the conventional cell measures 4.3209, 4.3209 and 4.3209 Å, with angles of 90.00, 90.00 and 90.00 degrees. The distinct sites, in fractional coordinates, are Hg at (0.0000, 0.0000, 0.0000), Au at (0.5000, 0.5000, 0.5000) and C at (0.0000, 0.0000, 0.5000).

The energy of formation from the pure elements is 3.564 eV per atom. The calculation puts the energy above the most stable polymorph in this dataset at 11.339 kcal/mol of atoms. The value obtained for the total energy is -13.433 eV for the cell shown. The density is 8.92 g/cm³. The value obtained for the density of states at the Fermi level is 0.962 states/eV per atom.



Density functional theory data (PBE-GGA) for a relaxed La6HgAu2C crystal.

The space group is P2_1/c (No. 14) and the conventional cell measures 6.9258, 8.1770 and 12.3396 Å, with angles of 90.00, 120.86 and 90.00 degrees. The distinct sites, in fractional coordinates, are La at (0.0678, 0.0588, 0.2230), La at (0.1934, 0.7140, 0.0708), La at (0.3726, 0.1483, 0.0609), Hg at (0.5000, 0.0000, 0.5000), Au at (0.3082, 0.1087, 0.7399) and C at (0.0000, 0.0000, 0.0000).

The energy of formation from the pure elements is -0.415 eV per atom. The value obtained for the total energy is -99.593 eV for the cell shown. The density is 7.97 g/cm³. The value obtained for the density of states at the Fermi level is 1.189 states/eV per atom.



Density functional theory data (PBE-GGA) for a relaxed La6Hg2AuC crystal.

The space group is C2/m (No. 12) and the conventional cell measures 12.2340, 7.5582 and 7.5756 Å, with angles of 90.00, 116.52 and 90.00 degrees. The distinct sites, in fractional coordinates, are La at (0.0695, 0.2346, 0.3281), La at (0.2094, 0.0000, 0.8321), Hg at (0.1977, 0.5000, 0.6986), Au at (0.0000, 0.5000, 0.0000) and C at (0.0000, 0.0000, 0.5000).

The energy of formation from the pure elements is -0.325 eV per atom. The value obtained for the total energy is -91.836 eV for the cell shown. The density is 7.65 g/cm³. The value obtained for the density of states at the Fermi level is 1.033 states/eV per atom.



Density functional theory data (PBE-GGA) for a relaxed Hg2AuCN crystal.

The space group is P4/mmm (No. 123) and the conventional cell measures 4.7941, 4.7941 and 4.2048 Å, with angles of 90.00, 90.00 and 90.00 degrees. The distinct sites, in fractional coordinates, are Hg at (0.0000, 0.5000, 0.0000), Au at (0.0000, 0.0000, 0.5000), C at (0.5000, 0.5000, 0.5000) and N at (0.0000, 0.0000, 0.0000).

As for the energy relative to the elements, uncorrected: 1926 meV per atom. The value obtained for the total energy is -11.800 eV for the cell shown. The density is 10.72 g/cm³. The value obtained for the density of states at the Fermi level is 0.209 states/eV per atom.



Density functional theory data (PBE-GGA) for a relaxed HgPAu2C crystal.

The space group is P4/mmm (No. 123) and the conventional cell measures 4.6934, 4.6934 and 5.3682 Å, with angles of 90.00, 90.00 and 90.00 degrees. The distinct sites, in fractional coordinates, are Hg at (0.0000, 0.0000, 0.0000), P at (0.0000, 0.0000, 0.5000), Au at (0.0000, 0.5000, 0.5000) and C at (0.5000, 0.5000, 0.0000).

The energy of formation from the pure elements is 1.542 eV per atom. The value obtained for the total energy is -13.782 eV for the cell shown. The density is 8.95 g/cm³. The value obtained for the density of states at the Fermi level is 0.598 states/eV per atom.



Density functional theory data (PBE-GGA) for a relaxed Tm4HgAuC crystal.

The space group is Cmcm (No. 63) and the conventional cell measures 6.7306, 14.6135 and 6.7462 Å, with angles of 90.00, 90.00 and 90.00 degrees. The distinct sites, in fractional coordinates, are Tm at (0.0000, 0.0787, 0.2500), Tm at (0.0000, 0.4161, 0.2500), Tm at (0.2500, 0.2500, 0.0000), Hg at (0.0000, 0.3840, 0.7500), Au at (0.0000, 0.1189, 0.7500) and C at (0.0000, 0.2493, 0.2500).

The energy of formation from the pure elements is -0.452 eV per atom. The value obtained for the total energy is -135.419 eV for the cell shown. The density is 10.86 g/cm³. The value obtained for the density of states at the Fermi level is 1.223 states/eV per atom.